No. 1
Compound: Ac2TbSm5Y
Source: Alexandria via LeMat-Bulk
Functional: GGA-PBE
Structure: optimized geometry

The theoretical density is 7.4 g cm⁻³. As for the density of states at the Fermi level: 12.629 states/eV/f.u. As for the crystal system: orthorhombic. As for the total energy: -4.62 eV per atom.

The structure belongs to space group Cmc2_1 (No. 36); the cell edges are 5.8203, 20.5712 and 10.9465 Å and the angles 90.00°, 90.00° and 90.00°. Symmetry generates all atoms from Ac at (0.0000, 0.1122, 0.0000), Ac at (0.0000, 0.1169, 0.5855), Tb at (0.0000, 0.2054, 0.2762), Sm at (0.0000, 0.0189, 0.2900), Sm at (0.0000, 0.2818, 0.5739), Sm at (0.0000, 0.2966, 0.9694), Sm at (0.0000, 0.3904, 0.2890), Sm at (0.0000, 0.4815, 0.0086) and Y at (0.0000, 0.4091, 0.7317).

---

No. 2
Compound: Sr6Bi2AsS
Source: Alexandria via LeMat-Bulk
Functional: GGA-PBE
Structure: optimized geometry

The theoretical density is 4.6 g cm⁻³. As for the density of states at the Fermi level: 4.353 states/eV/f.u. As for the crystal system: monoclinic. As for the total energy: -3.79 eV per atom.

The structure belongs to space group P2_1/c (No. 14); the cell edges are 7.7164, 8.6628 and 13.6682 Å and the angles 90.00°, 124.33° and 90.00°. Symmetry generates all atoms from Sr at (0.1178, 0.1907, 0.4388), Sr at (0.2589, 0.6918, 0.4414), Sr at (0.3703, 0.0428, 0.2483), Bi at (0.2134, 0.0913, 0.7523), As at (0.5000, 0.0000, 0.5000) and S at (0.0000, 0.0000, 0.0000).

---

No. 3
Compound: AcLuAu
Source: Alexandria via LeMat-Bulk
Functional: GGA-PBE
Structure: optimized geometry

The offset from the most stable computed form is 0 meV per atom. The theoretical density is 11.1 g cm⁻³. As for the density of states at the Fermi level: 3.137 states/eV/f.u. As for the crystal system: tetragonal.

The structure belongs to space group I4mm (No. 107); the cell edges are 3.7142, 3.7142 and 13.0448 Å and the angles 90.00°, 90.00° and 90.00°. Symmetry generates all atoms from Ac at (0.0000, 0.0000, 0.0000), Lu at (0.0000, 0.0000, 0.2801) and Au at (0.0000, 0.0000, 0.6806).

---

No. 4
Compound: CsK3Tl
Source: Alexandria via LeMat-Bulk
Functional: GGA-PBE
Structure: optimized geometry

The offset from the most stable computed form is 43 meV per atom. The theoretical density is 2.2 g cm⁻³. As for the density of states at the Fermi level: 4.207 states/eV/f.u. As for the crystal system: cubic.

The structure belongs to space group Pm-3m (No. 221); the cell edges are 7.0457, 7.0457 and 7.0457 Å and the angles 90.00°, 90.00° and 90.00°. Symmetry generates all atoms from Cs at (0.0000, 0.0000, 0.0000), K at (0.0000, 0.5000, 0.5000) and Tl at (0.5000, 0.5000, 0.5000).

---

No. 5
Compound: TaCuTe2N
Source: Alexandria via LeMat-Bulk
Functional: GGA-PBE
Structure: optimized geometry

The offset from the most stable computed form is 0 meV per atom. The theoretical density is 7.2 g cm⁻³. As for the density of states at the Fermi level: 3.554 states/eV/f.u. As for the crystal system: tetragonal.

The structure belongs to space group P4/mmm (No. 123); the cell edges are 5.5326, 5.5326 and 3.8777 Å and the angles 90.00°, 90.00° and 90.00°. Symmetry generates all atoms from Ta at (0.0000, 0.0000, 0.0000), Cu at (0.5000, 0.5000, 0.5000), Te at (0.0000, 0.5000, 0.0000) and N at (0.0000, 0.0000, 0.5000).

---

No. 6
Compound: Y4PaN4
Source: Alexandria via LeMat-Bulk
Functional: GGA-PBE
Structure: optimized geometry

The theoretical density is 7.1 g cm⁻³. As for the density of states at the Fermi level: 5.214 states/eV/f.u. As for the crystal system: tetragonal. As for the total energy: -9.05 eV per atom.

The structure belongs to space group I4/m (No. 87); the cell edges are 7.7940, 7.7940 and 4.9651 Å and the angles 90.00°, 90.00° and 90.00°. Symmetry generates all atoms from Y at (0.1035, 0.6909, 0.0000), Pa at (0.0000, 0.0000, 0.5000) and N at (0.0922, 0.7155, 0.5000).

---

No. 7
Compound: LiLaScSi
Source: Alexandria via LeMat-Bulk
Functional: GGA-PBE
Structure: optimized geometry

The theoretical density is 4.2 g cm⁻³. As for the density of states at the Fermi level: 2.240 states/eV/f.u. As for the crystal system: cubic. As for the total energy: -4.98 eV per atom.

The structure belongs to space group F-43m (No. 216); the cell edges are 7.0388, 7.0388 and 7.0388 Å and the angles 90.00°, 90.00° and 90.00°. Symmetry generates all atoms from Li at (0.0000, 0.0000, 0.0000), La at (0.2500, 0.2500, 0.7500), Sc at (0.2500, 0.2500, 0.2500) and Si at (0.0000, 0.0000, 0.5000).

---

No. 8
Compound: BaCd6Hg6
Source: Alexandria via LeMat-Bulk
Functional: GGA-PBE
Structure: optimized geometry

The offset from the most stable computed form is 10 meV per atom. The theoretical density is 9.9 g cm⁻³. As for the density of states at the Fermi level: 5.909 states/eV/f.u. As for the crystal system: orthorhombic.

The structure belongs to space group Cmmm (No. 65); the cell edges are 6.2170, 10.6037 and 10.2158 Å and the angles 90.00°, 90.00° and 90.00°. Symmetry generates all atoms from Ba at (0.0000, 0.0000, 0.0000), Cd at (0.0000, 0.5000, 0.2586), Cd at (0.2500, 0.2500, 0.2513), Hg at (0.0000, 0.0000, 0.3546), Hg at (0.0000, 0.3272, 0.5000) and Hg at (0.0000, 0.3356, 0.0000).

---

No. 9
Compound: Pm7NdRh2
Source: Alexandria via LeMat-Bulk
Functional: GGA-PBE
Structure: optimized geometry

The theoretical density is 6.5 g cm⁻³. As for the density of states at the Fermi level: 13.618 states/eV/f.u. As for the crystal system: orthorhombic. As for the total energy: -5.37 eV per atom.

The structure belongs to space group Cmmm (No. 65); the cell edges are 8.8716, 14.4866 and 5.4437 Å and the angles 90.00°, 90.00° and 90.00°. Symmetry generates all atoms from Pm at (0.0000, 0.0000, 0.0000), Pm at (0.0000, 0.2078, 0.5000), Pm at (0.1904, 0.3679, 0.0000), Nd at (0.0000, 0.5000, 0.5000) and Rh at (0.0000, 0.2013, 0.0000).

---

No. 10
Compound: Sr2CrNiTe
Source: Alexandria via LeMat-Bulk
Functional: GGA-PBE
Structure: optimized geometry

The theoretical density is 4.5 g cm⁻³. As for the density of states at the Fermi level: 3.250 states/eV/f.u. As for the crystal system: tetragonal. As for the total energy: -4.54 eV per atom.

The structure belongs to space group P4/mmm (No. 123); the cell edges are 5.7483, 5.7483 and 4.5850 Å and the angles 90.00°, 90.00° and 90.00°. Symmetry generates all atoms from Sr at (0.0000, 0.5000, 0.0000), Cr at (0.0000, 0.0000, 0.5000), Ni at (0.0000, 0.0000, 0.0000) and Te at (0.5000, 0.5000, 0.5000).

---

No. 11
Compound: SiS2Br
Source: Alexandria via LeMat-Bulk
Functional: GGA-PBE
Structure: optimized geometry

The offset from the most stable computed form is 1144 meV per atom. The theoretical density is 4.0 g cm⁻³. As for the density of states at the Fermi level: 4.834 states/eV/f.u. As for the crystal system: cubic.

The structure belongs to space group Fm-3m (No. 225); the cell edges are 6.6065, 6.6065 and 6.6065 Å and the angles 90.00°, 90.00° and 90.00°. Symmetry generates all atoms from Si at (0.0000, 0.0000, 0.0000), S at (0.2500, 0.2500, 0.2500) and Br at (0.0000, 0.0000, 0.5000).

---

No. 12
Compound: Ti2GaCl2
Source: Alexandria via LeMat-Bulk
Functional: GGA-PBE
Structure: optimized geometry

The offset from the most stable computed form is 0 meV per atom. The theoretical density is 4.2 g cm⁻³. As for the density of states at the Fermi level: 6.284 states/eV/f.u. As for the crystal system: tetragonal.

The structure belongs to space group I4/mmm (No. 139); the cell edges are 3.9945, 3.9945 and 11.6741 Å and the angles 90.00°, 90.00° and 90.00°. Symmetry generates all atoms from Ti at (0.0000, 0.0000, 0.1117), Ga at (0.0000, 0.0000, 0.5000) and Cl at (0.0000, 0.5000, 0.2500).